Entry from the Alexandria database: crystalline VSe2F at its relaxed geometry (PBE with a Hubbard U).

Lattice parameters (Å, degrees): 3.9275 3.9275 20.3725 90.00 90.00 120.00
Space group R-3m (No. 166, hexagonal axes)
Inequivalent atoms, fractional coordinates:
V1 0.0000 0.0000 0.0000
Se1 0.0000 0.0000 0.3947
F1 0.0000 0.0000 0.5000

Values from the calculation:
Final energy   -4.59 eV/atom
Mass density   4.2 Mg/m³